Here is a geometry-optimized Tb3SeBr7 structure from the Alexandria database. Energies are from PBE.

## Properties
total moment	0.00	μB/cell
raw formation energy	-1863	meV/atom
Fermi-level density of states	0.00	states/eV/f.u.
uncorrected energy	-0.331	Ry/atom

Lattice parameters (Å, degrees): 8.3544 8.3544 7.0047 90.00 90.00 120.00
Space group P3m1 (No. 156)
One atom of each set of equivalent atoms:
Tb 0.0120 0.5060 0.0000 x3
Se 0.3333 0.6667 0.2184 x1
Br 0.1732 0.3464 0.7672 x3
Br 0.3480 0.1740 0.2129 x3
Br 0.6667 0.3333 0.7628 x1

***

Here is a geometry-optimized Tb2SeBr structure from the Alexandria database. Energies are from PBE.

## Properties
total moment	0.01	μB/cell
raw formation energy	-1340	meV/atom
E above lowest polymorph	0	meV/atom
Fermi-level density of states	3.44	states/eV/f.u.
uncorrected energy	-0.363	Ry/atom

Lattice parameters (Å, degrees): 3.8379 3.8379 23.9293 90.00 90.00 120.00
Space group R3m (No. 160, hexagonal axes)
One atom of each set of equivalent atoms:
Tb 0.0000 0.0000 0.0000 x3
Tb 0.0000 0.0000 0.1863 x3
Se 0.0000 0.0000 0.5923 x3
Br 0.0000 0.0000 0.4260 x3

***

Here is a geometry-optimized Tb6Se8Br structure from the Alexandria database. Energies are from PBE.

## Properties
total moment	0.13	μB/cell
raw formation energy	-1710	meV/atom
Fermi-level density of states	4.16	states/eV/f.u.
uncorrected energy	-0.407	Ry/atom

Lattice parameters (Å, degrees): 11.2586 11.2586 4.2110 90.00 90.00 120.00
Space group P-3 (No. 147)
One atom of each set of equivalent atoms:
Tb 0.1386 0.6690 0.2473 x6
Se 0.0474 0.3791 0.2532 x6
Se 0.3333 0.6667 0.7486 x2
Br 0.0000 0.0000 0.0000 x1

***

Here is a geometry-optimized Tb2SeBr structure from the Alexandria database. Energies are from PBE.

## Properties
total moment	0.00	μB/cell
raw formation energy	-1334	meV/atom
E above lowest polymorph	6	meV/atom
Fermi-level density of states	1.26	states/eV/f.u.
uncorrected energy	-0.363	Ry/atom

Lattice parameters (Å, degrees): 3.9345 3.9345 23.2616 90.00 90.00 120.00
Space group R-3m (No. 166, hexagonal axes)
One atom of each set of equivalent atoms:
Tb 0.0000 0.0000 0.2360 x6
Se 0.0000 0.0000 0.5000 x3
Br 0.0000 0.0000 0.0000 x3

***

Here is a geometry-optimized TcSe2Br structure from the Alexandria database. Energies are from PBE.

## Properties
total moment	0.00	μB/cell
raw formation energy	31	meV/atom
E above lowest polymorph	391	meV/atom
Fermi-level density of states	2.00	states/eV/f.u.
uncorrected energy	-0.347	Ry/atom

Lattice parameters (Å, degrees): 3.083 29.743 4.131 90.00 90.00 90.00
Space group Cmcm (No. 63)
One atom of each set of equivalent atoms:
Tc 0.000 0.192 0.250 x4
Se 0.000 0.283 0.250 x4
Se 0.000 0.372 0.750 x4
Br 0.000 0.447 0.250 x4

***

Here is a geometry-optimized TcSe2Br structure from the Alexandria database. Energies are from PBE.

## Properties
total moment	0.00	μB/cell
raw formation energy	-264	meV/atom
E above lowest polymorph	96	meV/atom
Fermi-level density of states	2.55	states/eV/f.u.
uncorrected energy	-0.369	Ry/atom

Lattice parameters (Å, degrees): 3.248 7.361 8.648 97.68 100.68 90.00
Space group P1 (No. 1)
One atom of each set of equivalent atoms:
Tc 0.000 0.000 0.000 x1
Tc 0.388 0.763 0.772 x1
Se 0.528 0.762 0.058 x1
Se 0.860 0.997 0.715 x1
Se 0.872 0.475 0.741 x1
Se 0.995 0.356 0.990 x1
Br 0.238 0.659 0.470 x1
Br 0.620 0.154 0.243 x1

***

Here is a geometry-optimized TcSe2Br structure from the Alexandria database. Energies are from PBE.

## Properties
total moment	0.00	μB/cell
raw formation energy	-221	meV/atom
E above lowest polymorph	139	meV/atom
Fermi-level density of states	0.00	states/eV/f.u.
uncorrected energy	-0.366	Ry/atom

Lattice parameters (Å, degrees): 9.278 9.278 5.711 90.00 90.00 90.00
Space group I4/mcm (No. 140)
One atom of each set of equivalent atoms:
Tc 0.000 0.500 0.250 x4
Se 0.142 0.358 0.000 x8
Br 0.000 0.000 0.250 x4

***

Here is a geometry-optimized TcSe2Br structure from the Alexandria database. Energies are from PBE.

## Properties
total moment	0.76	μB/cell
raw formation energy	461	meV/atom
E above lowest polymorph	821	meV/atom
Fermi-level density of states	5.06	states/eV/f.u.
uncorrected energy	-0.315	Ry/atom

Lattice parameters (Å, degrees): 3.011 5.357 11.133 90.00 90.00 90.00
Space group Cmm2 (No. 35)
One atom of each set of equivalent atoms:
Tc 0.000 0.000 0.000 x2
Se 0.000 0.000 0.513 x2
Se 0.000 0.500 0.825 x2
Br 0.000 0.500 0.193 x2

***

Here is a geometry-optimized TcSeBr2 structure from the Alexandria database. Energies are from PBE.

## Properties
total moment	4.25	μB/cell
raw formation energy	763	meV/atom
E above lowest polymorph	910	meV/atom
Fermi-level density of states	2.08	states/eV/f.u.
uncorrected energy	-0.260	Ry/atom

Lattice parameters (Å, degrees): 3.454 4.438 6.418 90.00 90.00 90.00
Space group Pmmm (No. 47)
One atom of each set of equivalent atoms:
Tc 0.000 0.000 0.000 x1
Se 0.500 0.000 0.500 x1
Br 0.000 0.500 0.500 x1
Br 0.500 0.500 0.000 x1

***

Here is a geometry-optimized TcSe2Br structure from the Alexandria database. Energies are from PBE.

## Properties
total moment	1.36	μB/cell
raw formation energy	598	meV/atom
E above lowest polymorph	958	meV/atom
Fermi-level density of states	2.62	states/eV/f.u.
uncorrected energy	-0.305	Ry/atom

Lattice parameters (Å, degrees): 3.932 3.932 5.298 90.00 90.00 90.00
Space group P4/mmm (No. 123)
One atom of each set of equivalent atoms:
Tc 0.000 0.000 0.000 x1
Se 0.000 0.000 0.500 x1
Se 0.500 0.500 0.000 x1
Br 0.500 0.500 0.500 x1

***

Here is a geometry-optimized TcSe2Br structure from the Alexandria database. Energies are from PBE.

## Properties
total moment	0.00	μB/cell
raw formation energy	442	meV/atom
E above lowest polymorph	802	meV/atom
Fermi-level density of states	4.18	states/eV/f.u.
uncorrected energy	-0.317	Ry/atom

Lattice parameters (Å, degrees): 2.8976 2.8976 38.9958 90.00 90.00 120.00
Space group R-3m (No. 166, hexagonal axes)
One atom of each set of equivalent atoms:
Tc 0.0000 0.0000 0.0000 x3
Se 0.0000 0.0000 0.0629 x6
Br 0.0000 0.0000 0.5000 x3

***

Here is a geometry-optimized TcSe2Br structure from the Alexandria database. Energies are from PBE.

## Properties
total moment	0.00	μB/cell
raw formation energy	-314	meV/atom
E above lowest polymorph	46	meV/atom
Fermi-level density of states	0.76	states/eV/f.u.
uncorrected energy	-0.372	Ry/atom

Lattice parameters (Å, degrees): 3.212 7.276 8.766 95.61 100.51 90.00
Space group P-1 (No. 2)
One atom of each set of equivalent atoms:
Tc 0.200 0.379 0.400 x2
Se 0.299 0.909 0.598 x2
Se 0.341 0.391 0.683 x2
Br 0.056 0.250 0.110 x2